NdY2TmTe6 | PBE-GGA | relaxed

Summary:
SG: No. 146
Total magnetization (μB/f.u.): 0.000
Uncorrected formation energy (meV/atom): -1368

a = 7.7437 Å, b = 7.7436 Å, c = 8.3483 Å
α = 62.37°, β = 62.37°, γ = 60.00°
Last column: nearest neighbours and their distance in Å.
Element x y z (fractional)
Te 0.4045 0.7280 0.7536  2 Y 3.06-3.11, 1 Tm 3.07, 1 Nd 3.14
Te 0.1140 0.4044 0.7536  2 Y 3.06-3.11, 1 Tm 3.07, 1 Nd 3.14
Te 0.5989 0.2352 0.2468  1 Tm 3.05, 2 Y 3.08-3.12, 1 Nd 3.21
Te 0.2352 0.9191 0.2468  1 Tm 3.05, 2 Y 3.08-3.12, 1 Nd 3.21
Te 0.7280 0.1140 0.7536  2 Y 3.06-3.11, 1 Tm 3.07, 1 Nd 3.14
Te 0.9190 0.5989 0.2468  1 Tm 3.05, 2 Y 3.08-3.12, 1 Nd 3.21
Tm 0.3234 0.3234 0.0297  6 Te 3.05-3.07
Y 0.5101 0.5101 0.4696  6 Te 3.08-3.11
Y 0.0080 0.0079 0.9762  6 Te 3.06-3.12
Nd 0.8205 0.8205 0.5384  6 Te 3.14-3.21